No. 1
This record from Alexandria via LeMat-Bulk describes an optimized crystal structure of NaSb2TeRh. The functional is PBE.

Values from the calculation:
The calculation puts the uncorrected energy at -2.84 eV/atom. The value obtained for the energy above the lowest structure with this stoichiometry is 1183 meV per atom. For the density of states at the Fermi level, the calculation gives 3.9 states/eV/cell. The uncorrected formation energy is 1.17 eV/atom. For the total magnetic moment, the calculation gives 0.0 μB/cell.

```
data_NaSb2TeRh
_chemical_formula_sum 'Na1 Sb2 Te1 Rh1'
_cell_length_a 5.210
_cell_length_b 5.210
_cell_length_c 5.296
_cell_angle_alpha 90.00
_cell_angle_beta 90.00
_cell_angle_gamma 90.00
_symmetry_space_group_name_H-M 'P 4/m m m'
_symmetry_Int_Tables_number 123
_symmetry_space_group_name_Hall '-P 4 2'
loop_
_atom_site_label
_atom_site_type_symbol
_atom_site_fract_x
_atom_site_fract_y
_atom_site_fract_z
Na1 Na 0.000 0.000 0.000
Sb1 Sb 0.000 0.500 0.000
Te1 Te 0.000 0.000 0.500
Rh1 Rh 0.500 0.500 0.500
```

---

No. 2
This record from Alexandria via LeMat-Bulk describes an optimized crystal structure of NaSb2TeRh. The functional is PBE.

Values from the calculation:
The calculation puts the uncorrected energy at -4.03 eV/atom. The value obtained for the energy above the lowest structure with this stoichiometry is 0 meV per atom. For the density of states at the Fermi level, the calculation gives 2.0 states/eV/cell. The uncorrected formation energy is -0.02 eV/atom. For the total magnetic moment, the calculation gives 0.0 μB/cell.

```
data_NaSb2TeRh
_chemical_formula_sum 'Na1 Sb2 Te1 Rh1'
_cell_length_a 5.050
_cell_length_b 5.050
_cell_length_c 5.913
_cell_angle_alpha 90.00
_cell_angle_beta 90.00
_cell_angle_gamma 90.00
_symmetry_space_group_name_H-M 'P 4/m m m'
_symmetry_Int_Tables_number 123
_symmetry_space_group_name_Hall '-P 4 2'
loop_
_atom_site_label
_atom_site_type_symbol
_atom_site_fract_x
_atom_site_fract_y
_atom_site_fract_z
Na1 Na 0.000 0.000 0.000
Sb1 Sb 0.000 0.500 0.500
Te1 Te 0.500 0.500 0.000
Rh1 Rh 0.500 0.500 0.500
```

---

No. 3
This record from Alexandria via LeMat-Bulk describes an optimized crystal structure of Na2YSbRh. The functional is PBE.

Values from the calculation:
The calculation puts the uncorrected energy at -2.89 eV/atom. For the density of states at the Fermi level, the calculation gives 8.0 states/eV/cell. The uncorrected formation energy is 1.22 eV/atom. For the total magnetic moment, the calculation gives 0.0 μB/cell.

```
data_Na2YSbRh
_chemical_formula_sum 'Na2 Y1 Sb1 Rh1'
_cell_length_a 5.849
_cell_length_b 5.849
_cell_length_c 5.575
_cell_angle_alpha 90.00
_cell_angle_beta 90.00
_cell_angle_gamma 90.00
_symmetry_space_group_name_H-M 'P 4/m m m'
_symmetry_Int_Tables_number 123
_symmetry_space_group_name_Hall '-P 4 2'
loop_
_atom_site_label
_atom_site_type_symbol
_atom_site_fract_x
_atom_site_fract_y
_atom_site_fract_z
Na1 Na 0.000 0.500 0.000
Y1 Y 0.000 0.000 0.000
Sb1 Sb 0.000 0.000 0.500
Rh1 Rh 0.500 0.500 0.500
```

---

No. 4
This record from Alexandria via LeMat-Bulk describes an optimized crystal structure of Na2ScRh. The functional is PBE.

Values from the calculation:
The calculation puts the uncorrected energy at -4.00 eV/atom. The value obtained for the energy above the lowest structure with this stoichiometry is 0 meV per atom. The energy relative to the elements is 0.08 eV per atom. For the density of states at the Fermi level, the calculation gives 6.1 states/eV/cell. For the total magnetic moment, the calculation gives 0.0 μB/cell.

```
data_Na2ScRh
_chemical_formula_sum 'Na8 Sc4 Rh4'
_cell_length_a 3.830
_cell_length_b 3.830
_cell_length_c 23.232
_cell_angle_alpha 90.00
_cell_angle_beta 90.00
_cell_angle_gamma 90.00
_symmetry_space_group_name_H-M 'I -4 2 d'
_symmetry_Int_Tables_number 122
_symmetry_space_group_name_Hall 'I -4 2bw'
loop_
_atom_site_label
_atom_site_type_symbol
_atom_site_fract_x
_atom_site_fract_y
_atom_site_fract_z
Na1 Na 0.232 0.250 0.125
Sc1 Sc 0.000 0.000 0.500
Rh1 Rh 0.000 0.000 0.000
```

---

No. 5
This record from Alexandria via LeMat-Bulk describes an optimized crystal structure of NaSc3Rh. The functional is PBE.

Values from the calculation:
The calculation puts the uncorrected energy at -5.68 eV/atom. The value obtained for the energy above the lowest structure with this stoichiometry is 0 meV per atom. The energy relative to the elements is -0.15 eV per atom. For the density of states at the Fermi level, the calculation gives 2.4 states/eV/cell. For the total magnetic moment, the calculation gives 0.0 μB/cell.

```
data_NaSc3Rh
_chemical_formula_sum 'Na1 Sc3 Rh1'
_cell_length_a 5.109
_cell_length_b 5.109
_cell_length_c 5.109
_cell_angle_alpha 90.00
_cell_angle_beta 90.00
_cell_angle_gamma 90.00
_symmetry_space_group_name_H-M 'P m -3 m'
_symmetry_Int_Tables_number 221
_symmetry_space_group_name_Hall '-P 4 2 3'
loop_
_atom_site_label
_atom_site_type_symbol
_atom_site_fract_x
_atom_site_fract_y
_atom_site_fract_z
Na1 Na 0.000 0.000 0.000
Sc1 Sc 0.000 0.500 0.500
Rh1 Rh 0.500 0.500 0.500
```

---

No. 6
This record from Alexandria via LeMat-Bulk describes an optimized crystal structure of NaSc2Rh. The functional is PBE.

Values from the calculation:
The calculation puts the uncorrected energy at -5.13 eV/atom. The energy relative to the elements is 0.20 eV per atom. For the density of states at the Fermi level, the calculation gives 17.3 states/eV/cell. For the total magnetic moment, the calculation gives 0.0 μB/cell.

```
data_NaSc2Rh
_chemical_formula_sum 'Na3 Sc6 Rh3'
_cell_length_a 3.1074
_cell_length_b 3.1074
_cell_length_c 32.6411
_cell_angle_alpha 90.00
_cell_angle_beta 90.00
_cell_angle_gamma 120.00
_symmetry_space_group_name_H-M 'R -3 m'
_symmetry_Int_Tables_number 166
_symmetry_space_group_name_Hall '-R 3 2"'
loop_
_atom_site_label
_atom_site_type_symbol
_atom_site_fract_x
_atom_site_fract_y
_atom_site_fract_z
Na1 Na 0.0000 0.0000 0.0000
Sc1 Sc 0.0000 0.0000 0.4272
Rh1 Rh 0.0000 0.0000 0.5000
```

---

Q: Look up the uncorrected energy of the second one.
A: -4.03 eV/atom

---

Repeat the fourth record exactly.
This record from Alexandria via LeMat-Bulk describes an optimized crystal structure of Na2ScRh. The functional is PBE.

Values from the calculation:
The calculation puts the uncorrected energy at -4.00 eV/atom. The value obtained for the energy above the lowest structure with this stoichiometry is 0 meV per atom. The energy relative to the elements is 0.08 eV per atom. For the density of states at the Fermi level, the calculation gives 6.1 states/eV/cell. For the total magnetic moment, the calculation gives 0.0 μB/cell.

```
data_Na2ScRh
_chemical_formula_sum 'Na8 Sc4 Rh4'
_cell_length_a 3.830
_cell_length_b 3.830
_cell_length_c 23.232
_cell_angle_alpha 90.00
_cell_angle_beta 90.00
_cell_angle_gamma 90.00
_symmetry_space_group_name_H-M 'I -4 2 d'
_symmetry_Int_Tables_number 122
_symmetry_space_group_name_Hall 'I -4 2bw'
loop_
_atom_site_label
_atom_site_type_symbol
_atom_site_fract_x
_atom_site_fract_y
_atom_site_fract_z
Na1 Na 0.232 0.250 0.125
Sc1 Sc 0.000 0.000 0.500
Rh1 Rh 0.000 0.000 0.000
```